(1)
Sr2SnTePt: relaxed, GGA-PBE.

a = 5.964 Å, b = 5.964 Å, c = 4.966 Å
α = 90.00°, β = 90.00°, γ = 90.00°
Positions (direct):
1 Pt 0.000 0.000 0.000
2 Sr 0.500 0.000 0.000
3 Sr 0.000 0.500 0.000
4 Te 0.500 0.500 0.500
5 Sn 0.000 0.000 0.500

## Properties
- magnetization (μB per cell) = 0.0
- energy relative to the elements, uncorrected (kJ/mol of formula units) = -414
- DOS(E_F) (states/eV per cell) = 3.0


(2)
Sc2Mn: relaxed, GGA-PBE.

a = 5.733 Å, b = 5.733 Å, c = 5.733 Å
α = 60.00°, β = 60.00°, γ = 60.00°
Site moments in Bohr magnetons follow the coordinates.
Positions (direct):
1 Mn 0.250 0.250 0.250  3.96
2 Mn 0.000 0.000 0.000  3.96
3 Sc 0.625 0.625 0.125  -0.14
4 Sc 0.625 0.625 0.625  -0.14
5 Sc 0.625 0.125 0.625  -0.14
6 Sc 0.125 0.625 0.625  -0.14

## Properties
- magnetization (μB per cell) = 7.5
- DFT formation energy (kJ per mole of atoms) = 61.1
- DOS(E_F) (states/eV per cell) = 8.4


(3)
NiAg2Os: relaxed, GGA-PBE.

a = 4.688 Å, b = 4.688 Å, c = 4.688 Å
α = 128.57°, β = 128.57°, γ = 75.70°
Site moments in Bohr magnetons follow the coordinates.
Positions (direct):
1 Os 0.750 0.250 0.500  1.39
2 Ni 0.500 0.500 0.000  0.76
3 Ag 0.000 0.000 0.000  0.06
4 Ag 0.250 0.750 0.500  0.04

## Properties
- magnetization (μB per cell) = 2.2
- DFT formation energy (kJ per mole of atoms) = 71.6
- DOS(E_F) (states/eV per cell) = 3.7


(4)
MnCo2Os: relaxed, GGA-PBE.

a = 4.408 Å, b = 4.408 Å, c = 2.575 Å
α = 90.00°, β = 90.00°, γ = 109.34°
Site moments in Bohr magnetons follow the coordinates.
Positions (direct):
1 Mn 0.500 0.000 0.500  2.28
2 Os 0.000 0.500 0.500  -0.03
3 Co 0.500 0.500 0.000  -0.01
4 Co 0.000 0.000 0.000  -0.01

## Properties
- magnetization (μB per cell) = 2.3
- DFT formation energy (kJ per mole of atoms) = 8.3
- DOS(E_F) (states/eV per cell) = 4.6


(5)
Pm8ErTm6: relaxed, GGA-PBE.

a = 6.502 Å, b = 9.355 Å, c = 9.355 Å
α = 120.00°, β = 90.00°, γ = 90.00°
Positions (direct):
1 Pm 0.879 0.333 0.667
2 Pm 0.833 0.249 0.962
3 Pm 0.167 0.751 0.038
4 Pm 0.167 0.287 0.249
5 Pm 0.121 0.667 0.333
6 Pm 0.833 0.713 0.751
7 Pm 0.167 0.962 0.713
8 Pm 0.833 0.038 0.287
9 Tm 0.342 0.343 0.905
10 Tm 0.658 0.439 0.343
11 Tm 0.342 0.561 0.657
12 Tm 0.342 0.095 0.439
13 Tm 0.658 0.657 0.095
14 Tm 0.658 0.905 0.561
15 Er 0.500 0.000 0.000

## Properties
- magnetization (μB per cell) = 0.0
- DFT formation energy (kJ per mole of atoms) = 17.2
- DOS(E_F) (states/eV per cell) = 22.3


(6)
FeReMo: relaxed, GGA-PBE.

a = 6.739 Å, b = 6.571 Å, c = 2.663 Å
α = 82.02°, β = 74.94°, γ = 23.04°
Site moments in Bohr magnetons follow the coordinates.
Positions (direct):
1 Fe 0.999 0.999 0.001  2.30
2 Re 0.338 0.338 0.662  -0.02
3 Mo 0.663 0.663 0.337  -0.12

## Properties
- magnetization (μB per cell) = 2.1
- DFT formation energy (kJ per mole of atoms) = 13.9
- DOS(E_F) (states/eV per cell) = 2.8


(7)
Os3Pt: relaxed, GGA-PBE.

a = 4.714 Å, b = 4.714 Å, c = 2.715 Å
α = 90.00°, β = 90.00°, γ = 90.00°
Site moments in Bohr magnetons follow the coordinates.
Positions (direct):
1 Pt 0.000 0.500 0.500  0.01
2 Os 0.000 0.000 0.000  0.34
3 Os 0.500 0.500 0.000  0.34
4 Os 0.500 0.000 0.500  0.10

## Properties
- magnetization (μB per cell) = 0.8
- DFT formation energy (kJ per mole of atoms) = 60.6
- DOS(E_F) (states/eV per cell) = 4.7


(8)
Er6Ge3TeSe2: relaxed, GGA-PBE.

a = 4.137 Å, b = 8.335 Å, c = 9.289 Å
α = 103.54°, β = 102.87°, γ = 90.00°
Positions (direct):
1 Er 0.675 0.077 0.349
2 Er 0.002 0.731 0.004
3 Er 0.998 0.269 0.996
4 Er 0.336 0.408 0.672
5 Er 0.325 0.923 0.651
6 Er 0.664 0.592 0.328
7 Ge 0.165 0.832 0.330
8 Ge 0.835 0.168 0.670
9 Ge 0.500 0.500 0.000
10 Se 0.832 0.665 0.665
11 Se 0.168 0.335 0.335
12 Te 0.500 0.000 0.000

## Properties
- magnetization (μB per cell) = 0.0
- energy relative to the elements, uncorrected (kJ/mol of formula units) = -1487
- DOS(E_F) (states/eV per cell) = 2.4


(9)
GdErFeRh: relaxed, GGA-PBE.

a = 4.826 Å, b = 4.826 Å, c = 4.826 Å
α = 60.00°, β = 60.00°, γ = 60.00°
Site moments in Bohr magnetons follow the coordinates.
Positions (direct):
1 Rh 0.500 0.500 0.500  -0.21
2 Er 0.250 0.250 0.250  0.27
3 Gd 0.750 0.750 0.750  7.20
4 Fe 0.000 0.000 0.000  -2.04

## Properties
- magnetization (μB per cell) = 5.4
- DFT formation energy (kJ per mole of atoms) = -29.6
- DOS(E_F) (states/eV per cell) = 7.6


(10)
KBaEu2: relaxed, GGA-PBE.

a = 4.098 Å, b = 4.098 Å, c = 13.137 Å
α = 90.00°, β = 90.00°, γ = 90.00°
Site moments in Bohr magnetons follow the coordinates.
Positions (direct):
1 Eu 0.000 0.000 0.238  7.05
2 Eu 0.000 0.000 0.762  7.05
3 Ba 0.500 0.500 0.000  0.09
4 K 0.500 0.500 0.500  0.01

## Properties
- magnetization (μB per cell) = 15.5
- DFT formation energy (kJ per mole of atoms) = 13.2
- DOS(E_F) (states/eV per cell) = 22.3


(11)
BiCl5: relaxed, GGA-PBE.

a = 4.055 Å, b = 5.448 Å, c = 11.724 Å
α = 90.00°, β = 104.38°, γ = 90.00°
Positions (direct):
1 Cl 0.431 0.500 0.447
2 Cl 0.050 0.000 0.612
3 Cl 0.666 0.500 0.775
4 Cl 0.969 0.000 0.024
5 Cl 0.170 0.000 0.197
6 Bi 0.048 0.500 0.611

## Properties
- magnetization (μB per cell) = 0.0
- energy relative to the elements, uncorrected (kJ/mol of formula units) = -360


(12)
Dy3CoSn: relaxed, GGA-PBE.

a = 5.106 Å, b = 5.106 Å, c = 5.106 Å
α = 90.00°, β = 90.00°, γ = 90.00°
Positions (direct):
1 Dy 0.000 0.000 0.500
2 Dy 0.000 0.500 0.000
3 Dy 0.500 0.000 0.000
4 Sn 0.500 0.500 0.500
5 Co 0.000 0.000 0.000

## Properties
- magnetization (μB per cell) = 0.0
- DFT formation energy (kJ per mole of atoms) = -30.6
- DOS(E_F) (states/eV per cell) = 4.4


no.,total energy (eV/atom)
1,-4.1674
2,-6.6445
3,-4.9364
4,-8.5666
5,-4.4486
6,-10.4371
7,-9.3043
8,-5.5625
9,-8.9217
10,-5.7551
11,-2.8076
12,-5.3002